(1)
{"formula": "PaCdPt2", "functional": "PBEsol", "state": "optimized geometry", "lattice_angstrom": [[0.000, 3.375, 3.375], [3.375, 0.000, 3.375], [3.375, 3.375, 0.000]], "species": ["Pa", "Cd", "Pt", "Pt"], "fractional_positions": [[0.000, 0.000, 0.000], [0.500, 0.500, 0.500], [0.250, 0.250, 0.250], [0.750, 0.750, 0.750]], "space_group": "No. 225", "e_form_ev_per_fu": -2.78, "m_tot_mub_per_cell": 0.00, "final_energy_ev_per_cell": -28.137}

***

(2)
{"formula": "Sr2RePb", "functional": "PBEsol", "state": "optimized geometry", "lattice_angstrom": [[3.452, -4.826, 0.000], [3.452, 4.826, 0.000], [0.000, 0.000, 3.072]], "species": ["Sr", "Sr", "Re", "Pb"], "fractional_positions": [[0.000, 0.500, 0.000], [0.500, 0.000, 0.000], [0.000, 0.000, 0.500], [0.500, 0.500, 0.500]], "space_group": "No. 65", "e_form_ev_per_fu": 2.73, "m_tot_mub_per_cell": 0.00, "final_energy_ev_per_cell": -18.277}

***

(3)
{"formula": "MnFe2W", "functional": "PBEsol", "state": "optimized geometry", "lattice_angstrom": [[0.000, 2.882, 2.882], [2.882, 0.000, 2.882], [2.882, 2.882, 0.000]], "species": ["Mn", "Fe", "Fe", "W"], "fractional_positions": [[0.000, 0.000, 0.000], [0.250, 0.250, 0.250], [0.500, 0.500, 0.500], [0.750, 0.750, 0.750]], "de_polymorph_mev_per_atom": 0, "space_group": "No. 216", "e_form_ev_per_fu": 0.24, "m_tot_mub_per_cell": 4.99, "final_energy_ev_per_cell": -41.260}

***

(4)
{"formula": "GaH2S2", "functional": "PBEsol", "state": "optimized geometry", "lattice_angstrom": [[6.753, 0.000, 0.000], [0.000, 6.753, 0.000], [0.000, 0.000, 3.085]], "species": ["Ga", "Ga", "H", "H", "H", "H", "S", "S", "S", "S"], "fractional_positions": [[0.000, 0.000, 0.000], [0.500, 0.500, 0.000], [0.139, 0.361, 0.500], [0.361, 0.861, 0.500], [0.639, 0.139, 0.500], [0.861, 0.639, 0.500], [0.191, 0.309, 0.000], [0.309, 0.809, 0.000], [0.691, 0.191, 0.000], [0.809, 0.691, 0.000]], "space_group": "No. 127", "m_tot_mub_per_cell": 0.00, "final_energy_ev_per_cell": -36.832}

***

For reference, density by record: 15.849; 9.225; 12.152; 3.208 g/cm³.
For reference, Fermi-level density of states by record: 2.5; 3.6; 1.8; 2.7 states/eV/cell.